## CaSi2AgAu5 (PBE)

Data for an optimized crystal structure of CaSi2AgAu5.

Its mass density is 9.9 g/cm³. The density of states at the Fermi level is 2.66 states/eV/f.u. The energy relative to the elements, uncorrected comes out at -14.6 kJ per mole of atoms.

The structure belongs to space group P4/mmm (No. 123); the cell edges are 4.7711, 4.7711 and 8.7272 Å and the angles 90.00°, 90.00° and 90.00°. Symmetry generates all atoms from Ca at (0.0000, 0.0000, 0.0000), Si at (0.5000, 0.5000, 0.2731), Ag at (0.0000, 0.0000, 0.5000), Au at (0.0000, 0.5000, 0.3209) and Au at (0.5000, 0.5000, 0.0000).

***

## Ca2SiAgAu6 (PBE)

Data for an optimized crystal structure of Ca2SiAgAu6.

Its mass density is 10.3 g/cm³. The density of states at the Fermi level is 3.80 states/eV/f.u. The energy relative to the elements, uncorrected comes out at -36.1 kJ per mole of atoms.

The structure belongs to space group C2/m (No. 12); the cell edges are 11.8803, 5.5935 and 8.7991 Å and the angles 90.00°, 129.72° and 90.00°. Symmetry generates all atoms from Ca at (0.2222, 0.0000, 0.1939), Si at (0.0000, 0.0000, 0.5000), Ag at (0.0000, 0.5000, 0.0000), Au at (0.0193, 0.2510, 0.7481) and Au at (0.2505, 0.0000, 0.6026).

***

## CaSmAgAu (PBE)

Data for an optimized crystal structure of CaSmAgAu.

The value obtained for the formation energy from the elements is -0.56 eV per atom. Its mass density is 8.3 g/cm³. The density of states at the Fermi level is 2.86 states/eV/f.u.

The structure belongs to space group F-43m (No. 216); the cell edges are 7.3310, 7.3310 and 7.3310 Å and the angles 90.00°, 90.00° and 90.00°. Symmetry generates all atoms from Ca at (0.0000, 0.0000, 0.0000), Sm at (0.0000, 0.0000, 0.5000), Ag at (0.2500, 0.2500, 0.2500) and Au at (0.2500, 0.2500, 0.7500).

***

## Ca2AgSn3Au4 (PBE)

Data for an optimized crystal structure of Ca2AgSn3Au4.

The value obtained for the formation energy from the elements is -0.45 eV per atom. Its mass density is 9.2 g/cm³. The density of states at the Fermi level is 3.42 states/eV/f.u.

The structure belongs to space group P-4m2 (No. 115); the cell edges are 4.5589, 4.5589 and 11.6255 Å and the angles 90.00°, 90.00° and 90.00°. Symmetry generates all atoms from Ca at (0.0000, 0.5000, 0.2483), Ag at (0.5000, 0.5000, 0.0000), Sn at (0.0000, 0.0000, 0.0000), Sn at (0.0000, 0.5000, 0.6336), Au at (0.0000, 0.0000, 0.5000), Au at (0.0000, 0.5000, 0.8604) and Au at (0.5000, 0.5000, 0.5000).

***

Which formula does entry 3 have? CaSmAgAu

***

Which formula does entry 3 have? CaSmAgAu